This record from Alexandria describes crystalline SrGa3Sn3 at its relaxed geometry. The functional is GGA-PBE.

It has space group Pm-3n (No. 223), with a = 7.605 Å, b = 7.605 Å, c = 7.605 Å, α = 90.00°, β = 90.00° and γ = 90.00°. Symmetry generates all atoms from Sr at (0.000, 0.000, 0.000), Ga at (0.000, 0.250, 0.500) and Sn at (0.000, 0.500, 0.250).

The calculation puts the formation energy at -0.049 eV per atom. The calculation puts the total energy at -3.3024 eV per atom. The size of the total moment comes out at 0.00 μB/cell. Its density of states at the Fermi level is 0.37 states/eV/atom.

This record from Alexandria describes crystalline Sr4Ga2Sn5 at its relaxed geometry. The functional is GGA-PBE.

It has space group P2/m (No. 10), with a = 8.286 Å, b = 3.683 Å, c = 10.628 Å, α = 90.00°, β = 93.25° and γ = 90.00°. Symmetry generates all atoms from Sr at (0.170, 0.000, 0.386), Sr at (0.277, 0.000, 0.938), Ga at (0.056, 0.500, 0.126), Sn at (0.189, 0.500, 0.671), Sn at (0.420, 0.500, 0.202) and Sn at (0.500, 0.500, 0.500).

The calculation puts the formation energy at -0.427 eV per atom. The calculation puts the total energy at -3.4082 eV per atom. The size of the total moment comes out at 0.00 μB/cell. Its density of states at the Fermi level is 0.50 states/eV/atom.

This record from Alexandria describes crystalline Sr12Ga6Sn at its relaxed geometry. The functional is GGA-PBE.

It has space group Im-3 (No. 204), with a = 11.187 Å, b = 11.187 Å, c = 11.187 Å, α = 90.00°, β = 90.00° and γ = 90.00°. Symmetry generates all atoms from Sr at (0.000, 0.186, 0.295), Ga at (0.000, 0.385, 0.500) and Sn at (0.000, 0.000, 0.000).

The calculation puts the formation energy at -0.299 eV per atom. The calculation puts the total energy at -2.5280 eV per atom. The size of the total moment comes out at 6.92 μB/cell. Its density of states at the Fermi level is 0.81 states/eV/atom.

This record from Alexandria describes crystalline Sr2GaSn at its relaxed geometry. The functional is GGA-PBE.

It has space group P2_1/m (No. 11), with a = 6.540 Å, b = 4.521 Å, c = 9.501 Å, α = 90.00°, β = 107.74° and γ = 90.00°. Symmetry generates all atoms from Sr at (0.205, 0.250, 0.427), Sr at (0.285, 0.750, 0.067), Ga at (0.140, 0.250, 0.787) and Sn at (0.354, 0.750, 0.716).

The calculation puts the formation energy at -0.572 eV per atom. The calculation puts the total energy at -3.1699 eV per atom. The energy above the lowest structure with this stoichiometry comes out at 0.000 eV/atom. The size of the total moment comes out at 0.00 μB/cell. Its density of states at the Fermi level is 0.72 states/eV/atom.

This record from Alexandria describes crystalline SrGaSn2 at its relaxed geometry. The functional is GGA-PBE.

It has space group P4/mmm (No. 123), with a = 4.638 Å, b = 4.638 Å, c = 5.035 Å, α = 90.00°, β = 90.00° and γ = 90.00°. Symmetry generates all atoms from Sr at (0.000, 0.000, 0.000), Ga at (0.500, 0.500, 0.000) and Sn at (0.000, 0.500, 0.500).

The calculation puts the formation energy at -0.340 eV per atom. The calculation puts the total energy at -3.5190 eV per atom. The size of the total moment comes out at 0.00 μB/cell. Its density of states at the Fermi level is 0.54 states/eV/atom.

This record from Alexandria describes crystalline Sr3Ga2Sn3 at its relaxed geometry. The functional is GGA-PBE.

It has space group Cmcm (No. 63), with a = 4.790 Å, b = 12.216 Å, c = 16.244 Å, α = 90.00°, β = 90.00° and γ = 90.00°. Symmetry generates all atoms from Sr at (0.000, 0.069, 0.109), Sr at (0.000, 0.341, 0.250), Ga at (0.000, 0.238, 0.601), Sn at (0.000, 0.368, 0.750) and Sn at (0.000, 0.370, 0.046).

The calculation puts the formation energy at -0.527 eV per atom. The calculation puts the total energy at -3.4152 eV per atom. The energy above the lowest structure with this stoichiometry comes out at 0.000 eV/atom. The size of the total moment comes out at 0.00 μB/cell. Its density of states at the Fermi level is 0.35 states/eV/atom.

This record from Alexandria describes crystalline Sr2Ga5Sn at its relaxed geometry. The functional is GGA-PBE.

It has space group Cmcm (No. 63), with a = 4.993 Å, b = 16.997 Å, c = 9.206 Å, α = 90.00°, β = 90.00° and γ = 90.00°. Symmetry generates all atoms from Sr at (0.000, 0.000, 0.000), Sr at (0.000, 0.197, 0.250), Ga at (0.000, 0.186, 0.606), Ga at (0.000, 0.340, 0.516), Ga at (0.000, 0.393, 0.250) and Sn at (0.000, 0.445, 0.750).

The calculation puts the formation energy at -0.417 eV per atom. The calculation puts the total energy at -3.2296 eV per atom. The size of the total moment comes out at 0.00 μB/cell. Its density of states at the Fermi level is 0.30 states/eV/atom.

This record from Alexandria describes crystalline Sr3Ga2Sn3 at its relaxed geometry. The functional is GGA-PBE.

It has space group Cmcm (No. 63), with a = 5.266 Å, b = 11.746 Å, c = 15.219 Å, α = 90.00°, β = 90.00° and γ = 90.00°. Symmetry generates all atoms from Sr at (0.000, 0.045, 0.250), Sr at (0.000, 0.151, 0.533), Ga at (0.000, 0.318, 0.162), Sn at (0.000, 0.253, 0.750) and Sn at (0.000, 0.455, 0.598).

The calculation puts the formation energy at -0.448 eV per atom. The calculation puts the total energy at -3.3361 eV per atom. The energy above the lowest structure with this stoichiometry comes out at 0.079 eV/atom. The size of the total moment comes out at 0.00 μB/cell. Its density of states at the Fermi level is 0.43 states/eV/atom.

- Among the records above, which one has the lowest total energy?
  SrGaSn2

- total energy of number 2 (Sr4Ga2Sn5)?
  -3.4082 eV per atom

Repeat the fifth record exactly.
This record from Alexandria describes crystalline SrGaSn2 at its relaxed geometry. The functional is GGA-PBE.

It has space group P4/mmm (No. 123), with a = 4.638 Å, b = 4.638 Å, c = 5.035 Å, α = 90.00°, β = 90.00° and γ = 90.00°. Symmetry generates all atoms from Sr at (0.000, 0.000, 0.000), Ga at (0.500, 0.500, 0.000) and Sn at (0.000, 0.500, 0.500).

The calculation puts the formation energy at -0.340 eV per atom. The calculation puts the total energy at -3.5190 eV per atom. The size of the total moment comes out at 0.00 μB/cell. Its density of states at the Fermi level is 0.54 states/eV/atom.